## 1
The following is a meta-GGA SCAN calculation of BeSiTe2 at its PBEsol-relaxed geometry, from Alexandria via LeMat-Bulk.

```
data_BeSiTe2
_chemical_formula_sum 'Be2 Si2 Te4'
_cell_length_a 3.774
_cell_length_b 6.280
_cell_length_c 7.465
_cell_angle_alpha 90.00
_cell_angle_beta 90.00
_cell_angle_gamma 90.00
_symmetry_space_group_name_H-M 'C m m m'
_symmetry_Int_Tables_number 65
_symmetry_space_group_name_Hall '-C 2 2'
loop_
_atom_site_label
_atom_site_fract_x
_atom_site_fract_y
_atom_site_fract_z
Be1 0.000 0.000 0.000
Si1 0.000 0.000 0.500
Te1 0.000 0.500 0.226
```



## 2
The following is a meta-GGA SCAN calculation of BeSiTe2 at its PBEsol-relaxed geometry, from Alexandria via LeMat-Bulk.

```
data_BeSiTe2
_chemical_formula_sum 'Be1 Si1 Te2'
_cell_length_a 3.890
_cell_length_b 3.890
_cell_length_c 5.732
_cell_angle_alpha 90.00
_cell_angle_beta 90.00
_cell_angle_gamma 90.00
_symmetry_space_group_name_H-M 'P 4 m m'
_symmetry_Int_Tables_number 99
loop_
_symmetry_equiv_pos_as_xyz
'x,y,z'
'-y,x,z'
'-x,-y,z'
'y,-x,z'
'-x,y,z'
'y,x,z'
'x,-y,z'
'-y,-x,z'
loop_
_atom_site_label
_atom_site_fract_x
_atom_site_fract_y
_atom_site_fract_z
Be1 0.000 0.000 0.000
Si1 0.500 0.500 0.482
Te1 0.000 0.000 0.435
Te2 0.500 0.500 0.942
```



Most stable structure: 2



## 1
The following is a meta-GGA SCAN calculation of BeTlSi at its PBEsol-relaxed geometry, from Alexandria via LeMat-Bulk.

```
data_BeTlSi
_chemical_formula_sum 'Be1 Tl1 Si1'
_cell_length_a 3.9027
_cell_length_b 3.9027
_cell_length_c 4.1464
_cell_angle_alpha 90.00
_cell_angle_beta 90.00
_cell_angle_gamma 120.00
_symmetry_space_group_name_H-M 'P -6 m 2'
_symmetry_Int_Tables_number 187
_symmetry_space_group_name_Hall 'P -6 2'
loop_
_atom_site_label
_atom_site_fract_x
_atom_site_fract_y
_atom_site_fract_z
Be1 0.0000 0.0000 0.0000
Tl1 0.6667 0.3333 0.5000
Si1 0.3333 0.6667 0.0000
```



## 2
The following is a meta-GGA SCAN calculation of BeTlSi at its PBEsol-relaxed geometry, from Alexandria via LeMat-Bulk.

```
data_BeTlSi
_chemical_formula_sum 'Be4 Tl4 Si4'
_cell_length_a 5.956
_cell_length_b 5.956
_cell_length_c 5.956
_cell_angle_alpha 90.00
_cell_angle_beta 90.00
_cell_angle_gamma 90.00
_symmetry_space_group_name_H-M 'F -4 3 m'
_symmetry_Int_Tables_number 216
_symmetry_space_group_name_Hall 'F -4 2 3'
loop_
_atom_site_label
_atom_site_fract_x
_atom_site_fract_y
_atom_site_fract_z
Be1 0.000 0.000 0.000
Tl1 0.250 0.250 0.250
Si1 0.250 0.250 0.750
```



Most stable structure: 1



## 1
The following is a meta-GGA SCAN calculation of Be2TlSi at its PBEsol-relaxed geometry, from Alexandria via LeMat-Bulk.

```
data_Be2TlSi
_chemical_formula_sum 'Be4 Tl2 Si2'
_cell_length_a 3.798
_cell_length_b 5.549
_cell_length_c 6.189
_cell_angle_alpha 90.00
_cell_angle_beta 90.00
_cell_angle_gamma 90.00
_symmetry_space_group_name_H-M 'I m m m'
_symmetry_Int_Tables_number 71
_symmetry_space_group_name_Hall '-I 2 2'
loop_
_atom_site_label
_atom_site_fract_x
_atom_site_fract_y
_atom_site_fract_z
Be1 0.000 0.000 0.183
Tl1 0.000 0.500 0.000
Si1 0.000 0.500 0.500
```



## 2
The following is a meta-GGA SCAN calculation of Be2TlSi at its PBEsol-relaxed geometry, from Alexandria via LeMat-Bulk.

```
data_Be2TlSi
_chemical_formula_sum 'Be8 Tl4 Si4'
_cell_length_a 4.221
_cell_length_b 4.221
_cell_length_c 14.673
_cell_angle_alpha 90.00
_cell_angle_beta 90.00
_cell_angle_gamma 90.00
_symmetry_space_group_name_H-M 'I -4 2 d'
_symmetry_Int_Tables_number 122
_symmetry_space_group_name_Hall 'I -4 2bw'
loop_
_atom_site_label
_atom_site_fract_x
_atom_site_fract_y
_atom_site_fract_z
Be1 0.125 0.250 0.125
Tl1 0.000 0.000 0.500
Si1 0.000 0.000 0.000
```



Most stable structure: 2



## 1
The following is a meta-GGA SCAN calculation of Sr2BeTl at its PBEsol-relaxed geometry, from Alexandria via LeMat-Bulk.

```
data_Sr2BeTl
_chemical_formula_sum 'Sr4 Be2 Tl2'
_cell_length_a 4.815
_cell_length_b 4.815
_cell_length_c 9.753
_cell_angle_alpha 90.00
_cell_angle_beta 90.00
_cell_angle_gamma 90.00
_symmetry_space_group_name_H-M 'I -4 m 2'
_symmetry_Int_Tables_number 119
_symmetry_space_group_name_Hall 'I -4 -2'
loop_
_atom_site_label
_atom_site_fract_x
_atom_site_fract_y
_atom_site_fract_z
Sr1 0.000 0.000 0.000
Sr2 0.000 0.500 0.250
Be1 0.000 0.500 0.750
Tl1 0.000 0.000 0.500
```



## 2
The following is a meta-GGA SCAN calculation of Sr2BeTl at its PBEsol-relaxed geometry, from Alexandria via LeMat-Bulk.

```
data_Sr2BeTl
_chemical_formula_sum 'Sr2 Be1 Tl1'
_cell_length_a 3.811
_cell_length_b 3.811
_cell_length_c 7.937
_cell_angle_alpha 90.00
_cell_angle_beta 90.00
_cell_angle_gamma 90.00
_symmetry_space_group_name_H-M 'P 4/m m m'
_symmetry_Int_Tables_number 123
_symmetry_space_group_name_Hall '-P 4 2'
loop_
_atom_site_label
_atom_site_fract_x
_atom_site_fract_y
_atom_site_fract_z
Sr1 0.000 0.000 0.228
Be1 0.500 0.500 0.000
Tl1 0.500 0.500 0.500
```



## 3
The following is a meta-GGA SCAN calculation of Sr2BeTl at its PBEsol-relaxed geometry, from Alexandria via LeMat-Bulk.

```
data_Sr2BeTl
_chemical_formula_sum 'Sr8 Be4 Tl4'
_cell_length_a 7.768
_cell_length_b 7.768
_cell_length_c 7.768
_cell_angle_alpha 90.00
_cell_angle_beta 90.00
_cell_angle_gamma 90.00
_symmetry_space_group_name_H-M 'F m -3 m'
_symmetry_Int_Tables_number 225
_symmetry_space_group_name_Hall '-F 4 2 3'
loop_
_atom_site_label
_atom_site_fract_x
_atom_site_fract_y
_atom_site_fract_z
Sr1 0.250 0.250 0.250
Be1 0.000 0.000 0.000
Tl1 0.000 0.000 0.500
```



Most stable structure: 3



## 1
The following is a meta-GGA SCAN calculation of SrBe2Tl at its PBEsol-relaxed geometry, from Alexandria via LeMat-Bulk.

```
data_SrBe2Tl
_chemical_formula_sum 'Sr2 Be4 Tl2'
_cell_length_a 3.971
_cell_length_b 4.026
_cell_length_c 10.478
_cell_angle_alpha 90.00
_cell_angle_beta 90.00
_cell_angle_gamma 90.00
_symmetry_space_group_name_H-M 'A m m 2'
_symmetry_Int_Tables_number 38
loop_
_symmetry_equiv_pos_as_xyz
'x,y,z'
'-x,-y,z'
'-x,y,z'
'x,-y,z'
'x,y+1/2,z+1/2'
'-x,-y+1/2,z+1/2'
'-x,y+1/2,z+1/2'
'x,-y+1/2,z+1/2'
loop_
_atom_site_label
_atom_site_fract_x
_atom_site_fract_y
_atom_site_fract_z
Sr1 0.000 0.000 0.000
Be1 0.000 0.000 0.709
Be2 0.500 0.000 0.648
Tl1 0.500 0.000 0.293
```



## 2
The following is a meta-GGA SCAN calculation of SrBe2Tl at its PBEsol-relaxed geometry, from Alexandria via LeMat-Bulk.

```
data_SrBe2Tl
_chemical_formula_sum 'Sr3 Be6 Tl3'
_cell_length_a 4.1903
_cell_length_b 4.1903
_cell_length_c 16.4804
_cell_angle_alpha 90.00
_cell_angle_beta 90.00
_cell_angle_gamma 120.00
_symmetry_space_group_name_H-M 'R -3 m'
_symmetry_Int_Tables_number 166
_symmetry_space_group_name_Hall '-R 3 2"'
loop_
_atom_site_label
_atom_site_fract_x
_atom_site_fract_y
_atom_site_fract_z
Sr1 0.0000 0.0000 0.0000
Be1 0.0000 0.0000 0.1927
Tl1 0.0000 0.0000 0.5000
```



Most stable structure: 2



## 1
The following is a meta-GGA SCAN calculation of Sr2BeZn at its PBEsol-relaxed geometry, from Alexandria via LeMat-Bulk.

```
data_Sr2BeZn
_chemical_formula_sum 'Sr4 Be2 Zn2'
_cell_length_a 7.751
_cell_length_b 4.424
_cell_length_c 7.941
_cell_angle_alpha 90.00
_cell_angle_beta 108.56
_cell_angle_gamma 90.00
_symmetry_space_group_name_H-M 'C 1 2/m 1'
_symmetry_Int_Tables_number 12
loop_
_symmetry_equiv_pos_as_xyz
'x,y,z'
'-x,-y,-z'
'-x,y,-z'
'x,-y,z'
'x+1/2,y+1/2,z'
'-x+1/2,-y+1/2,-z'
'-x+1/2,y+1/2,-z'
'x+1/2,-y+1/2,z'
loop_
_atom_site_label
_atom_site_fract_x
_atom_site_fract_y
_atom_site_fract_z
Sr1 0.246 0.000 0.237
Be1 0.000 0.500 0.000
Zn1 0.000 0.000 0.500
```



## 2
The following is a meta-GGA SCAN calculation of Sr2BeZn at its PBEsol-relaxed geometry, from Alexandria via LeMat-Bulk.

```
data_Sr2BeZn
_chemical_formula_sum 'Sr2 Be1 Zn1'
_cell_length_a 3.760
_cell_length_b 3.760
_cell_length_c 7.543
_cell_angle_alpha 90.00
_cell_angle_beta 90.00
_cell_angle_gamma 90.00
_symmetry_space_group_name_H-M 'P 4/m m m'
_symmetry_Int_Tables_number 123
_symmetry_space_group_name_Hall '-P 4 2'
loop_
_atom_site_label
_atom_site_fract_x
_atom_site_fract_y
_atom_site_fract_z
Sr1 0.000 0.000 0.242
Be1 0.500 0.500 0.000
Zn1 0.500 0.500 0.500
```



Most stable structure: 2